# NaCrN2O (PBE with a Hubbard U, optimized geometry)
data_NaCrN2O
_space_group_name_H-M_alt 'P 4/m m m'
_space_group_IT_number 123
_space_group_name_Hall '-P 4 2'
_cell_length_a 3.7054
_cell_length_b 3.7054
_cell_length_c 3.8404
_cell_angle_alpha 90.00
_cell_angle_beta 90.00
_cell_angle_gamma 90.00
loop_
_atom_site_label
_atom_site_type_symbol
_atom_site_fract_x
_atom_site_fract_y
_atom_site_fract_z
_atom_site_occupancy
Na1 Na 0.0000 0.0000 0.0000 1
Cr1 Cr 0.5000 0.5000 0.5000 1
N1 N 0.0000 0.5000 0.5000 1
O1 O 0.5000 0.5000 0.0000 1
# Total DFT energy (no corrections)   -29.285 eV per cell
# Total moment   0.0 μB/cell